# CsInMo2O8

Crystalline CsInMo2O8 at its relaxed geometry (PBE with a Hubbard U, Alexandria).

## Properties
* D(E_F): 0.00 states/eV per cell
* DFT total energy: -6.49 eV/atom

Cell lengths 5.609, 5.609, 9.472 Å; angles 72.78, 72.78, 60.00 degrees
Positions (direct):
O1 0.800 0.800 0.599
O2 0.616 0.236 0.143
Mo1 0.266 0.266 0.203
O3 0.200 0.200 0.401
In1 0.000 0.000 0.000
O4 0.236 0.006 0.143
Mo2 0.734 0.734 0.797
Cs1 0.500 0.500 0.500
O5 0.764 0.994 0.857
O6 0.384 0.764 0.857
O7 0.994 0.384 0.857
O8 0.006 0.616 0.143